No. 1
# PBE TmThZn2, optimized geometry
# DOS(E_F): 3.96 states/eV per cell
# E_tot: -15.47 eV per cell
# V: 92.7 Å³/cell
# E_form: -99 kJ/mol of formula units
# Theoretical density: 9.5 Mg/m³
data_TmThZn2
_cell_length_a 3.540
_cell_length_b 3.540
_cell_length_c 7.394
_cell_angle_alpha 90.00
_cell_angle_beta 90.00
_cell_angle_gamma 90.00
_space_group_name_H-M_alt 'P 1'
_space_group_IT_number 1
loop_
_space_group_symop_operation_xyz
'x,y,z'
loop_
_atom_site_label
_atom_site_type_symbol
_atom_site_fract_x
_atom_site_fract_y
_atom_site_fract_z
Tm1 Tm 0.000 0.000 0.000
Th1 Th 0.000 0.000 0.500
Zn1 Zn 0.500 0.500 0.226
Zn2 Zn 0.500 0.500 0.774

***

No. 2
# PBE Tm2ThZn, optimized geometry
# DOS(E_F): 5.47 states/eV per cell
# E_tot: -17.78 eV per cell
# V: 110.8 Å³/cell
# Polymorph energy (0 for the lowest one): 0.130 eV/atom
# E_form: -14 kJ/mol of formula units
# Theoretical density: 9.5 Mg/m³
data_Tm2ThZn
_cell_length_a 10.503
_cell_length_b 10.503
_cell_length_c 10.503
_cell_angle_alpha 19.31
_cell_angle_beta 19.31
_cell_angle_gamma 19.31
_space_group_name_H-M_alt 'P 1'
_space_group_IT_number 1
loop_
_space_group_symop_operation_xyz
'x,y,z'
loop_
_atom_site_label
_atom_site_type_symbol
_atom_site_fract_x
_atom_site_fract_y
_atom_site_fract_z
Tm1 Tm 0.000 0.000 0.000
Tm2 Tm 0.191 0.191 0.191
Th1 Th 0.761 0.761 0.761
Zn1 Zn 0.596 0.596 0.596